Compound: Tl3Ag2SbSe6
Source: Alexandria via LeMat-Bulk
Functional: PBE
Structure: relaxed

Cell: 7.186 7.186 7.214 Å, 99.44 99.44 120.14°
Element x y z (fractional)
Tl: 0.500 0.500 0.500
Tl: 0.164 0.836 0.500
Tl: 0.836 0.164 0.500
Sb: 0.000 0.000 0.000
Se: 0.260 0.260 0.776
Se: 0.411 0.077 0.222
Se: 0.923 0.589 0.778
Se: 0.740 0.740 0.224
Se: 0.589 0.923 0.778
Se: 0.077 0.411 0.222
Ag: 0.667 0.333 0.000
Ag: 0.333 0.667 0.000

## Properties
VASP energy = -40.355 eV for the cell shown
formation energy without anion corrections = -0.210 eV/atom
crystal system = monoclinic
N(E_F) = 5.24 states/eV/cell
symmetry = C2/m